one) Crystalline RbTbAsO at its relaxed geometry. Source: OQMD via LeMat-Bulk, functional PBE.

## Properties
Symmetry   P4/nmm (129)

a = 5.926 Å, b = 5.926 Å, c = 5.287 Å
α = 90.00°, β = 90.00°, γ = 90.00°
Fractional coordinates of all 8 atoms:
Tb: 0.500 0.500 0.500
As: 0.500 0.000 0.502
O: 0.000 0.000 0.000
Rb: 0.500 0.000 0.002
Tb: 0.000 0.000 0.500
O: 0.500 0.500 0.000
As: 0.000 0.500 0.498
Rb: 0.000 0.500 0.998



two) Crystalline RbTbAsO at its relaxed geometry. Source: OQMD via LeMat-Bulk, functional PBE.

## Properties
Symmetry   Pmc2_1 (26)

a = 3.487 Å, b = 8.016 Å, c = 8.077 Å
α = 90.00°, β = 90.00°, γ = 90.00°
Fractional coordinates of all 8 atoms:
Rb: 0.500 0.055 0.599
Rb: 0.500 0.945 0.099
O: 0.500 0.242 0.887
Tb: 0.000 0.629 0.458
As: 0.000 0.698 0.810
O: 0.500 0.758 0.387
As: 0.000 0.302 0.310
Tb: 0.000 0.371 0.958



Q: What are the energies relative to the best structure? A: one) 656; two) 0, in meV/atom.